#w
# ZrBiH3

A relaxed ZrBiH3 crystal (PBE, Alexandria via LeMat-Bulk).

Cell and atoms, written as CIF:
```
data_ZrBiH3
_chemical_formula_sum 'Zr1 Bi1 H3'
_symmetry_space_group_name_H-M 'P m -3 m'
_symmetry_Int_Tables_number 221
_symmetry_space_group_name_Hall '-P 4 2 3'
_cell_length_a 3.951
_cell_length_b 3.951
_cell_length_c 3.951
_cell_angle_alpha 90.00
_cell_angle_beta 90.00
_cell_angle_gamma 90.00
loop_
_atom_site_label
_atom_site_fract_x
_atom_site_fract_y
_atom_site_fract_z
Zr1 0.000 0.000 0.000
Bi1 0.500 0.500 0.500
H1 0.000 0.000 0.500
```

Results
Fermi-level density of states   1.667 states/eV/f.u.



#x
# ZrBiH3

A relaxed ZrBiH3 crystal (PBE, Alexandria via LeMat-Bulk).

Cell and atoms, written as CIF:
```
data_ZrBiH3
_chemical_formula_sum 'Zr1 Bi1 H3'
_symmetry_space_group_name_H-M 'P m -3 m'
_symmetry_Int_Tables_number 221
_symmetry_space_group_name_Hall '-P 4 2 3'
_cell_length_a 4.136
_cell_length_b 4.136
_cell_length_c 4.136
_cell_angle_alpha 90.00
_cell_angle_beta 90.00
_cell_angle_gamma 90.00
loop_
_atom_site_label
_atom_site_fract_x
_atom_site_fract_y
_atom_site_fract_z
Zr1 0.000 0.000 0.000
Bi1 0.500 0.500 0.500
H1 0.000 0.500 0.500
```

Results
Fermi-level density of states   4.672 states/eV/f.u.



Among the structures shown above, #w is the most stable, with the second-best lying 910 meV/atom higher.